[1]
A plane-wave DFT calculation with PBE was carried out for a relaxed CeCu2S3 crystal.

## Properties
* excess energy over the best structure of this formula in the dataset: 32.6 meV per atom
* energy: -5.323 eV per atom
* M_tot: 0.3 Bohr magnetons per cell
* formation energy without anion corrections: -904 meV/atom

Unit cell a=4.7295 b=7.1647 c=7.1647 alpha=108.67 beta=90.00 gamma=90.00
Each line ends with the local moment (μB).
Fractional positions:
Ce  0.2500  0.2502  0.7498  0.29
Ce  0.7500  0.7498  0.2502  0.29
Cu  0.0000  0.1974  0.1974  -0.02
Cu  0.5000  0.1974  0.1974  -0.02
Cu  0.0000  0.8026  0.8026  -0.02
Cu  0.5000  0.8026  0.8026  -0.02
S  0.7500  0.1100  0.8900  -0.02
S  0.7500  0.1616  0.4573  -0.02
S  0.2500  0.4573  0.1616  -0.02
S  0.7500  0.5427  0.8384  -0.02
S  0.2500  0.8384  0.5427  -0.02
S  0.2500  0.8900  0.1100  -0.02

[2]
A plane-wave DFT calculation with PBE was carried out for a relaxed CeCuS2 crystal.

## Properties
* energy: -5.915 eV per atom
* M_tot: 4.0 Bohr magnetons per cell
* formation energy without anion corrections: -1343 meV/atom

Unit cell a=7.2026 b=6.4693 c=6.9040 alpha=82.15 beta=90.00 gamma=90.00
Each line ends with the local moment (μB).
Fractional positions:
Ce  0.5520  0.6889  0.2003  0.91
Ce  0.0520  0.3111  0.2997  0.91
Ce  0.4480  0.3111  0.7997  0.91
Ce  0.9480  0.6889  0.7003  0.91
Cu  0.8333  0.0691  0.9626  0.00
Cu  0.1667  0.9309  0.0374  0.00
Cu  0.3333  0.9309  0.5374  0.00
Cu  0.6667  0.0691  0.4626  0.00
S  0.8833  0.9100  0.2843  -0.01
S  0.3833  0.0900  0.2157  -0.01
S  0.1167  0.0900  0.7157  -0.01
S  0.6167  0.9100  0.7843  -0.01
S  0.7269  0.4121  0.5004  -0.02
S  0.7731  0.4121  0.0004  -0.02
S  0.2731  0.5879  0.4996  -0.02
S  0.2269  0.5879  0.9996  -0.02

[3]
A plane-wave DFT calculation with PBE was carried out for a relaxed CeCu2S3 crystal.

## Properties
* excess energy over the best structure of this formula in the dataset: 0.0 meV per atom
* energy: -5.355 eV per atom
* M_tot: 0.3 Bohr magnetons per cell
* formation energy without anion corrections: -937 meV/atom

Unit cell a=3.9302 b=6.7774 c=9.6274 alpha=99.13 beta=90.00 gamma=90.00
Each line ends with the local moment (μB).
Fractional positions:
Ce  0.2500  0.8200  0.3217  0.22
Ce  0.7500  0.1800  0.6783  0.22
Cu  0.2500  0.4042  0.9183  -0.02
Cu  0.7500  0.5958  0.0817  -0.02
Cu  0.7500  0.2003  0.3454  -0.01
Cu  0.2500  0.7997  0.6546  -0.01
S  0.7500  0.9425  0.1631  -0.01
S  0.2500  0.0575  0.8369  -0.01
S  0.7500  0.5376  0.8360  -0.01
S  0.2500  0.4624  0.1640  -0.01
S  0.2500  0.2316  0.4703  -0.01
S  0.7500  0.7684  0.5297  -0.01

[4]
A plane-wave DFT calculation with PBE was carried out for a relaxed Ce2CuSbS5 crystal.

## Properties
* energy: -5.721 eV per atom
* M_tot: 4.0 Bohr magnetons per cell
* formation energy without anion corrections: -1197 meV/atom

Unit cell a=3.8988 b=8.6016 c=11.7977 alpha=90.00 beta=90.00 gamma=103.10
Each line ends with the local moment (μB).
Fractional positions:
Ce  0.8811  0.7622  0.8076  0.92
Ce  0.1133  0.2266  0.6834  0.93
Ce  0.1189  0.2378  0.3076  0.92
Ce  0.8867  0.7734  0.1834  0.93
Cu  0.4971  0.9943  0.9837  -0.02
Cu  0.5029  0.0057  0.4837  -0.02
Sb  0.8125  0.6249  0.5016  0.01
Sb  0.1875  0.3751  0.0016  0.01
S  0.3562  0.7124  0.9994  -0.02
S  0.7003  0.4007  0.8321  -0.02
S  0.5044  0.0088  0.7894  -0.03
S  0.2932  0.5863  0.6611  -0.01
S  0.9606  0.9212  0.5656  -0.01
S  0.6438  0.2876  0.4994  -0.02
S  0.2997  0.5993  0.3321  -0.02
S  0.4956  0.9912  0.2894  -0.03
S  0.7068  0.4137  0.1611  -0.01
S  0.0394  0.0788  0.0656  -0.01

[5]
A plane-wave DFT calculation with PBE was carried out for a relaxed CeCuSbS crystal.

## Properties
* energy: -5.552 eV per atom
* M_tot: 0.7 Bohr magnetons per cell
* formation energy without anion corrections: -982 meV/atom

Unit cell a=4.4893 b=4.4893 c=8.5882 alpha=90.00 beta=90.00 gamma=90.00
Each line ends with the local moment (μB).
Fractional positions:
Ce  0.5000  0.0000  0.6901  0.38
Ce  0.0000  0.5000  0.3099  0.38
Cu  0.5000  0.5000  0.0000  -0.01
Cu  0.0000  0.0000  0.0000  -0.01
Sb  0.0000  0.5000  0.8364  -0.02
Sb  0.5000  0.0000  0.1636  -0.02
S  0.0000  0.0000  0.5000  -0.03
S  0.5000  0.5000  0.5000  -0.03

[6]
A plane-wave DFT calculation with PBE was carried out for a relaxed Ce3Sc3CuS8 crystal.

## Properties
* energy: -6.652 eV per atom
* M_tot: 2.4 Bohr magnetons per cell
* formation energy without anion corrections: -1725 meV/atom

Unit cell a=7.6111 b=7.6109 c=7.6805 alpha=119.70 beta=90.00 gamma=120.00
Each line ends with the local moment (μB).
Fractional positions:
Ce  0.0000  0.0000  0.0000  0.69
Ce  0.0000  0.5000  0.0000  0.69
Ce  0.5000  0.5000  0.0000  0.69
Sc  0.5000  0.0000  0.5000  0.02
Sc  0.5000  0.5000  0.5000  0.02
Sc  0.0000  0.5000  0.5000  0.02
Cu  0.0000  0.0000  0.5000  -0.02
S  0.2589  0.5177  0.2766  -0.01
S  0.7411  0.4823  0.7234  -0.01
S  0.7553  0.5106  0.2718  -0.01
S  0.2447  0.4894  0.7282  -0.01
S  0.7552  0.0165  0.2716  -0.01
S  0.2448  0.9835  0.7284  -0.01
S  0.2613  0.0165  0.2717  -0.01
S  0.7387  0.9835  0.7283  -0.01

[7]
A plane-wave DFT calculation with PBE was carried out for a relaxed CeCu2SeS2 crystal.

## Properties
* energy: -5.092 eV per atom
* M_tot: 0.8 Bohr magnetons per cell
* formation energy without anion corrections: -781 meV/atom

Unit cell a=6.5761 b=7.6965 c=7.4332 alpha=129.64 beta=90.00 gamma=90.00
Each line ends with the local moment (μB).
Fractional positions:
Ce  0.2500  0.1856  0.0078  0.48
Ce  0.7500  0.8144  0.9922  0.48
Cu  0.2500  0.9226  0.1942  -0.02
Cu  0.2500  0.3499  0.5735  -0.02
Cu  0.7500  0.0774  0.8058  -0.02
Cu  0.7500  0.6501  0.4265  -0.02
Se  0.7500  0.4588  0.0308  -0.02
Se  0.2500  0.5412  0.9692  -0.02
S  0.5041  0.1731  0.3051  -0.02
S  0.9959  0.1731  0.3051  -0.02
S  0.0041  0.8269  0.6949  -0.02
S  0.4959  0.8269  0.6949  -0.02

[8]
A plane-wave DFT calculation with PBE was carried out for a relaxed Ce2CuSeS4 crystal.

## Properties
* energy: -5.737 eV per atom
* M_tot: 0.0 Bohr magnetons per cell
* formation energy without anion corrections: -1242 meV/atom

Unit cell a=3.9341 b=5.7948 c=8.6037 alpha=77.71 beta=76.78 gamma=70.16
Fractional positions:
Ce  0.8344  0.5754  0.7558
Ce  0.1656  0.4246  0.2442
Cu  0.0000  0.0000  0.0000
Se  0.5000  0.5000  0.5000
S  0.1685  0.9336  0.7294
S  0.3846  0.2986  0.9321
S  0.8315  0.0664  0.2706
S  0.6154  0.7014  0.0679

[9]
A plane-wave DFT calculation with PBE was carried out for a relaxed Ce2CuSe2S2 crystal.

## Properties
* energy: -5.869 eV per atom
* M_tot: 1.0 Bohr magnetons per cell
* formation energy without anion corrections: -1413 meV/atom

Unit cell a=4.5529 b=4.5529 c=11.2831 alpha=90.00 beta=90.00 gamma=120.00
Each line ends with the local moment (μB).
Fractional positions:
Ce  0.6667  0.3333  0.3330  0.57
Ce  0.3333  0.6667  0.6670  0.57
Cu  0.0000  0.0000  0.0000  -0.02
Se  0.0000  0.0000  0.8005  -0.03
Se  0.0000  0.0000  0.1995  -0.03
S  0.6667  0.3333  0.5864  -0.03
S  0.3333  0.6667  0.4136  -0.03

[10]
A plane-wave DFT calculation with PBE was carried out for a relaxed Ce3CuSiS7 crystal.

## Properties
* energy: -6.185 eV per atom
* M_tot: 6.0 Bohr magnetons per cell
* formation energy without anion corrections: -1501 meV/atom

Unit cell a=10.2108 b=10.2108 c=5.7903 alpha=90.00 beta=90.00 gamma=120.00
Each line ends with the local moment (μB).
Fractional positions:
Ce  0.2323  0.3562  0.7504  0.95
Ce  0.3562  0.1239  0.2504  0.95
Ce  0.8761  0.2323  0.2504  0.95
Ce  0.1239  0.7677  0.7504  0.95
Ce  0.7677  0.6438  0.2504  0.95
Ce  0.6438  0.8761  0.7504  0.95
Cu  0.0000  0.0000  0.7736  -0.01
Cu  0.0000  0.0000  0.2736  -0.01
Si  0.3333  0.6667  0.1640  0.01
Si  0.6667  0.3333  0.6640  0.01
S  0.2502  0.0864  0.7637  -0.02
S  0.5242  0.4119  0.5217  -0.01
S  0.4119  0.8877  0.0217  -0.01
S  0.1123  0.5242  0.0217  -0.01
S  0.8877  0.4758  0.5217  -0.01
S  0.0864  0.8362  0.2637  -0.02
S  0.1638  0.2502  0.2637  -0.02
S  0.7498  0.9136  0.2637  -0.02
S  0.5881  0.1123  0.5217  -0.01
S  0.8362  0.7498  0.7637  -0.02
S  0.4758  0.5881  0.0217  -0.01
S  0.6667  0.3333  0.0289  -0.01
S  0.3333  0.6667  0.5289  -0.01
S  0.9136  0.1638  0.7637  -0.02